This record from Alexandria describes crystalline Li2TlTe at its relaxed geometry. The functional is PBE.

abc: 5.316 5.316 5.316
angles: 126.24 126.24 79.50
Element x y z (fractional)
1 Li 0.000 0.000 0.000
2 Li 0.500 0.500 0.000
3 Te 0.250 0.750 0.500
4 Tl 0.750 0.250 0.500

Values from the calculation:
For the energy above the most stable polymorph in this dataset, the calculation gives 70 meV per atom. The calculation puts the raw formation energy at -483 meV/atom. The calculation puts the final energy at -0.104 hartree per atom.

=====

This record from Alexandria describes crystalline Pr5GaBi2 at its relaxed geometry. The functional is PBE.

abc: 4.763 8.473 12.840
angles: 90.00 90.00 90.00
Element x y z (fractional)
1 Pr 0.000 0.000 0.500
2 Pr 0.000 0.500 0.000
3 Pr 0.000 0.854 0.210
4 Pr 0.000 0.146 0.790
5 Pr 0.000 0.646 0.710
6 Pr 0.000 0.354 0.290
7 Pr 0.500 0.698 0.437
8 Pr 0.500 0.302 0.563
9 Pr 0.500 0.802 0.937
10 Pr 0.500 0.198 0.063
11 Ga 0.000 0.500 0.500
12 Ga 0.000 0.000 0.000
13 Bi 0.500 0.581 0.175
14 Bi 0.500 0.419 0.825
15 Bi 0.500 0.919 0.675
16 Bi 0.500 0.081 0.325

Values from the calculation:
For the energy above the most stable polymorph in this dataset, the calculation gives 0 meV per atom. Its formation energy is -5.31 eV/f.u. The calculation puts the final energy at -0.184 hartree per atom.

=====

This record from Alexandria describes crystalline TbPm2Pr2Mg at its relaxed geometry. The functional is PBE.

abc: 6.890 6.485 10.200
angles: 108.54 109.74 90.00
Element x y z (fractional)
1 Tb 0.000 0.750 0.000
2 Tb 0.000 0.250 0.000
3 Pm 0.806 0.152 0.304
4 Pm 0.498 0.652 0.304
5 Pm 0.502 0.348 0.696
6 Pm 0.194 0.848 0.696
7 Pr 0.312 0.152 0.304
8 Pr 0.688 0.848 0.696
9 Pr 0.009 0.348 0.696
10 Pr 0.991 0.652 0.304
11 Mg 0.500 0.750 0.000
12 Mg 0.500 0.250 0.000

Values from the calculation:
Its formation energy is 1.06 eV/f.u. The calculation puts the final energy at -0.148 hartree per atom.

=====

This record from Alexandria describes crystalline KNa2Cd2 at its relaxed geometry. The functional is PBE.

abc: 4.674 6.346 6.966
angles: 104.91 109.60 90.00
Element x y z (fractional)
1 K 0.000 0.000 0.000
2 Na 0.350 0.439 0.701
3 Na 0.650 0.561 0.299
4 Cd 0.725 0.116 0.450
5 Cd 0.275 0.884 0.550

Values from the calculation:
For the energy above the most stable polymorph in this dataset, the calculation gives 12 meV per atom. Its formation energy is -0.19 eV/f.u. The calculation puts the final energy at -0.042 hartree per atom.

=====

This record from Alexandria describes crystalline Ac2Pr3Nd6 at its relaxed geometry. The functional is PBE.

abc: 6.518 8.370 15.446
angles: 49.36 60.47 97.21
Element x y z (fractional)
1 Ac 0.631 0.452 0.095
2 Ac 0.369 0.548 0.905
3 Pr 0.000 0.000 0.000
4 Pr 0.543 0.810 0.368
5 Pr 0.457 0.190 0.632
6 Nd 0.096 0.639 0.721
7 Nd 0.725 0.097 0.817
8 Nd 0.904 0.361 0.279
9 Nd 0.275 0.903 0.183
10 Nd 0.817 0.724 0.545
11 Nd 0.183 0.276 0.455

Values from the calculation:
For the energy above the most stable polymorph in this dataset, the calculation gives 0 meV per atom. Its formation energy is 0.26 eV/f.u. The calculation puts the final energy at -0.170 hartree per atom.

=====

This record from Alexandria describes crystalline Re2AuBr at its relaxed geometry. The functional is PBE.

abc: 4.837 5.762 2.876
angles: 74.92 91.46 115.22
Element x y z (fractional)
1 Re 0.000 0.000 0.000
2 Re 0.500 0.000 0.500
3 Au 0.000 0.500 0.500
4 Br 0.500 0.500 0.000

Values from the calculation:
For the energy above the most stable polymorph in this dataset, the calculation gives 652 meV per atom. The calculation puts the raw formation energy at 1328 meV/atom. The calculation puts the final energy at -0.225 hartree per atom.

=====

This record from Alexandria describes crystalline Cs2AlSnSe4 at its relaxed geometry. The functional is PBE.

abc: 6.566 8.164 13.223
angles: 84.27 75.62 66.29
Element x y z (fractional)
1 Cs 0.180 0.000 0.640
2 Cs 0.820 0.000 0.360
3 Cs 0.570 0.500 0.860
4 Cs 0.930 0.500 0.140
5 Al 0.250 0.500 0.500
6 Al 0.500 0.000 0.000
7 Sn 0.750 0.500 0.500
8 Sn 0.000 0.000 0.000
9 Se 0.322 0.812 0.108
10 Se 0.243 0.188 0.892
11 Se 0.866 0.812 0.892
12 Se 0.569 0.188 0.108
13 Se 0.428 0.688 0.392
14 Se 0.507 0.312 0.608
15 Se 0.884 0.688 0.608
16 Se 0.181 0.312 0.392

Values from the calculation:
The calculation puts the raw formation energy at -906 meV/atom. The calculation puts the final energy at -0.141 hartree per atom.

=====

This record from Alexandria describes crystalline NpZnSnPt at its relaxed geometry. The functional is PBE.

abc: 4.850 4.850 4.850
angles: 60.00 60.00 60.00
Site moments in Bohr magnetons follow the coordinates.
Element x y z (fractional)
1 Np 0.000 0.000 0.000  3.65
2 Zn 0.250 0.250 0.250  0.01
3 Sn 0.500 0.500 0.500  -0.03
4 Pt 0.750 0.750 0.750  -0.11

Values from the calculation:
Its formation energy is -1.19 eV/f.u. The calculation puts the final energy at -0.234 hartree per atom.

=====

This record from Alexandria describes crystalline Ti6GaIr at its relaxed geometry. The functional is PBE.

abc: 4.520 5.570 5.570
angles: 111.81 90.00 90.00
Element x y z (fractional)
1 Ti 0.000 0.124 0.393
2 Ti 0.000 0.607 0.876
3 Ti 0.000 0.635 0.365
4 Ti 0.500 0.357 0.085
5 Ti 0.500 0.915 0.643
6 Ti 0.500 0.853 0.147
7 Ga 0.500 0.410 0.590
8 Ir 0.000 0.098 0.902

Values from the calculation:
For the energy above the most stable polymorph in this dataset, the calculation gives 0 meV per atom. Its formation energy is -2.97 eV/f.u. The calculation puts the final energy at -0.286 hartree per atom.

=====

This record from Alexandria describes crystalline PmGa6Ni at its relaxed geometry. The functional is PBE.

abc: 4.244 4.244 8.048
angles: 90.00 90.00 90.00
Element x y z (fractional)
1 Pm 0.000 0.000 0.000
2 Ga 0.500 0.000 0.664
3 Ga 0.000 0.500 0.664
4 Ga 0.500 0.500 0.149
5 Ga 0.500 0.500 0.851
6 Ga 0.000 0.500 0.336
7 Ga 0.500 0.000 0.336
8 Ni 0.000 0.000 0.500

Values from the calculation:
Its formation energy is -3.36 eV/f.u. The calculation puts the final energy at -0.147 hartree per atom.

=====

This record from Alexandria describes crystalline InH4 at its relaxed geometry. The functional is PBE.

abc: 3.836 3.836 3.836
angles: 90.00 90.00 90.00
Site moments in Bohr magnetons follow the coordinates.
Element x y z (fractional)
1 H 0.000 0.000 0.000  0.37
2 H 0.500 0.000 0.500  0.02
3 H 0.000 0.500 0.500  0.02
4 H 0.500 0.500 0.000  0.02
5 In 0.500 0.500 0.500  0.02

Values from the calculation:
The calculation puts the final energy at -0.093 hartree per atom.

=====

This record from Alexandria describes crystalline HSeIBr2 at its relaxed geometry. The functional is PBE.

abc: 4.200 4.200 8.458
angles: 90.00 90.00 90.00
Element x y z (fractional)
1 I 0.500 0.500 0.500
2 H 0.000 0.000 0.000
3 Se 0.000 0.000 0.500
4 Br 0.000 0.500 0.000
5 Br 0.500 0.000 0.000

Values from the calculation:
For the energy above the most stable polymorph in this dataset, the calculation gives 0 meV per atom. The calculation puts the final energy at -0.070 hartree per atom.

=====

This record from Alexandria describes crystalline ThGa3Pd at its relaxed geometry. The functional is PBE.

abc: 4.317 4.317 6.107
angles: 110.70 110.70 90.00
Element x y z (fractional)
1 Th 0.003 0.003 0.006
2 Ga 0.264 0.764 0.528
3 Ga 0.764 0.264 0.528
4 Ga 0.414 0.414 0.829
5 Pd 0.645 0.645 0.290

Values from the calculation:
For the energy above the most stable polymorph in this dataset, the calculation gives 0 meV per atom. Its formation energy is -3.40 eV/f.u. The calculation puts the final energy at -0.184 hartree per atom.

=====

This record from Alexandria describes crystalline HgAuSe2 at its relaxed geometry. The functional is PBE.

abc: 6.114 6.114 7.458
angles: 65.80 65.80 90.00
Element x y z (fractional)
1 Au 0.500 0.500 0.000
2 Au 0.250 0.750 0.500
3 Hg 0.000 0.000 0.000
4 Hg 0.750 0.250 0.500
5 Se 0.605 0.125 0.250
6 Se 0.145 0.625 0.250
7 Se 0.375 0.395 0.750
8 Se 0.875 0.855 0.750

Values from the calculation:
The calculation puts the raw formation energy at -32 meV/atom. The calculation puts the final energy at -0.098 hartree per atom.

=====

This record from Alexandria describes crystalline Mn2AsW at its relaxed geometry. The functional is PBE.

abc: 8.502 8.502 8.502
angles: 19.02 19.02 19.02
Site moments in Bohr magnetons follow the coordinates.
Element x y z (fractional)
1 As 0.745 0.745 0.745  0.02
2 Mn 0.997 0.997 0.997  -2.14
3 Mn 0.256 0.256 0.256  2.38
4 W 0.502 0.502 0.502  0.00

Values from the calculation:
Its formation energy is 1.37 eV/f.u. The calculation puts the final energy at -0.318 hartree per atom.

=====

This record from Alexandria describes crystalline Tl2NiMo at its relaxed geometry. The functional is PBE.

abc: 5.628 5.628 5.025
angles: 69.83 69.83 30.84
Element x y z (fractional)
1 Mo 0.471 0.471 0.457
2 Ni 0.783 0.783 0.791
3 Tl 0.015 0.015 0.933
4 Tl 0.231 0.231 0.319

Values from the calculation:
For the energy above the most stable polymorph in this dataset, the calculation gives 141 meV per atom. Its formation energy is 2.28 eV/f.u. The calculation puts the final energy at -0.175 hartree per atom.

=====

This record from Alexandria describes crystalline AgH3W at its relaxed geometry. The functional is PBE.

abc: 3.528 3.528 3.528
angles: 90.00 90.00 90.00
Element x y z (fractional)
1 H 0.000 0.500 0.000
2 H 0.000 0.000 0.500
3 H 0.500 0.000 0.000
4 Ag 0.000 0.000 0.000
5 W 0.500 0.500 0.500

Values from the calculation:
For the energy above the most stable polymorph in this dataset, the calculation gives 608 meV per atom. The calculation puts the final energy at -0.148 hartree per atom.

=====

This record from Alexandria describes crystalline YTeRhN2 at its relaxed geometry. The functional is PBE.

abc: 4.331 4.331 6.278
angles: 90.00 90.00 90.00
Site moments in Bohr magnetons follow the coordinates.
Element x y z (fractional)
1 Y 0.000 0.000 0.000  0.12
2 Te 0.000 0.000 0.500  0.14
3 Rh 0.500 0.500 0.500  1.22
4 N 0.000 0.500 0.000  1.12
5 N 0.500 0.000 0.000  1.12

Values from the calculation:
For the energy above the most stable polymorph in this dataset, the calculation gives 585 meV per atom. The calculation puts the raw formation energy at 1123 meV/atom. The calculation puts the final energy at -0.206 hartree per atom.

=====

This record from Alexandria describes crystalline Sc2Be2Pt5Au at its relaxed geometry. The functional is PBE.

abc: 3.546 9.273 9.273
angles: 90.00 90.00 90.00
Element x y z (fractional)
1 Sc 0.000 0.678 0.178
2 Sc 0.000 0.322 0.822
3 Sc 0.000 0.178 0.322
4 Sc 0.000 0.822 0.678
5 Be 0.000 0.121 0.621
6 Be 0.000 0.879 0.379
7 Be 0.000 0.621 0.879
8 Be 0.000 0.379 0.121
9 Pt 0.500 0.215 0.072
10 Pt 0.500 0.785 0.928
11 Pt 0.500 0.072 0.785
12 Pt 0.500 0.715 0.428
13 Pt 0.500 0.928 0.215
14 Pt 0.500 0.285 0.572
15 Pt 0.500 0.572 0.715
16 Pt 0.500 0.428 0.285
17 Pt 0.500 0.500 0.000
18 Pt 0.500 0.000 0.500
19 Au 0.000 0.000 0.000
20 Au 0.000 0.500 0.500

Values from the calculation:
Its formation energy is -8.96 eV/f.u. The calculation puts the final energy at -0.230 hartree per atom.

=====

This record from Alexandria describes crystalline CoTcRu3 at its relaxed geometry. The functional is PBE.

abc: 4.320 4.320 4.320
angles: 90.00 90.00 90.00
Element x y z (fractional)
1 Ru 0.000 0.500 0.000
2 Ru 0.000 0.000 0.500
3 Ru 0.500 0.000 0.000
4 Co 0.000 0.000 0.000
5 Tc 0.500 0.500 0.500

Values from the calculation:
For the energy above the most stable polymorph in this dataset, the calculation gives 0 meV per atom. Its formation energy is 7.99 eV/f.u. The calculation puts the final energy at -0.274 hartree per atom.